VASP calculation (GGA+U) on an optimized crystal structure of CaMoO4.

**Size of the total moment**: 0.00 μB per formula unit
**Calculated volume**: 13.57 Å³/atom
**E_tot**: -7.0879 eV per atom

Cell: 5.3021 5.3021 11.5833 Å, 90.00 90.00 90.00°
Last column: nearest neighbours and their distance in Å.
Space group I4_1/a (No. 88, origin choice 2)
Inequivalent atoms, fractional coordinates:
Ca 0.0000 0.2500 0.1250 (multiplicity 4)  8 O 2.48-2.50
Mo 0.0000 0.2500 0.6250 (multiplicity 4)  4 O 1.81
O 0.1496 0.0057 0.7098 (multiplicity 16)  1 Mo 1.81